Entry 1:
# Cu2PtCl | the Alexandria database | SCAN | PBEsol geometry
data_Cu2PtCl
_space_group_name_H-M_alt 'P 1'
_space_group_IT_number 1
_space_group_name_Hall 'P 1'
_cell_length_a 4.2882
_cell_length_b 4.2882
_cell_length_c 4.2882
_cell_angle_alpha 60.00
_cell_angle_beta 60.00
_cell_angle_gamma 60.00
loop_
_atom_site_label
_atom_site_fract_x
_atom_site_fract_y
_atom_site_fract_z
_atom_site_occupancy
Cl1 0.5000 0.5000 0.5000 1
Cu1 0.0000 0.0000 0.0000 1
Cu2 0.7500 0.7500 0.7500 1
Pt1 0.2500 0.2500 0.2500 1
# * calculated total energy: -106.6 eV per cell
# * uncorrected formation energy: 499.2 meV per atom
# * polymorph energy (0 for the lowest one): 0.352 eV per atom
# * ρ: 10651 kg/m³

=====

Entry 2:
# CuSn | the Alexandria database | SCAN | PBEsol geometry
data_CuSn
_space_group_name_H-M_alt 'P 1'
_space_group_IT_number 1
_space_group_name_Hall 'P 1'
_cell_length_a 4.1140
_cell_length_b 4.1140
_cell_length_c 4.9809
_cell_angle_alpha 90.00
_cell_angle_beta 90.00
_cell_angle_gamma 120.00
loop_
_atom_site_label
_atom_site_fract_x
_atom_site_fract_y
_atom_site_fract_z
_atom_site_occupancy
Sn1 0.3333 0.6667 0.2500 1
Sn2 0.6667 0.3333 0.7500 1
Cu1 0.0000 0.0000 0.5000 1
Cu2 0.0000 0.0000 0.0000 1
# * calculated total energy: -102.3 eV per cell
# * ΔH_f (0 K): -0.02 eV/f.u.
# * ρ: 8291 kg/m³

=====

Entry 3:
# TiAg3Hg | the Alexandria database | SCAN | PBEsol geometry
data_TiAg3Hg
_space_group_name_H-M_alt 'P 1'
_space_group_IT_number 1
_space_group_name_Hall 'P 1'
_cell_length_a 5.0130
_cell_length_b 5.0130
_cell_length_c 5.0130
_cell_angle_alpha 90.00
_cell_angle_beta 90.00
_cell_angle_gamma 90.00
loop_
_atom_site_label
_atom_site_fract_x
_atom_site_fract_y
_atom_site_fract_z
_atom_site_occupancy
Hg1 0.0000 0.0000 0.0000 1
Ag1 0.0000 0.5000 0.0000 1
Ag2 0.0000 0.0000 0.5000 1
Ag3 0.5000 0.0000 0.0000 1
Ti1 0.5000 0.5000 0.5000 1
# * calculated total energy: -173.7 eV per cell
# * ΔH_f (0 K): 4.63 eV/f.u.
# * ρ: 7541 kg/m³

=====

Entry 4:
# LaAl2Se | the Alexandria database | SCAN | PBEsol geometry
data_LaAl2Se
_space_group_name_H-M_alt 'P 1'
_space_group_IT_number 1
_space_group_name_Hall 'P 1'
_cell_length_a 3.6829
_cell_length_b 3.6829
_cell_length_c 6.5026
_cell_angle_alpha 90.00
_cell_angle_beta 90.00
_cell_angle_gamma 90.00
loop_
_atom_site_label
_atom_site_fract_x
_atom_site_fract_y
_atom_site_fract_z
_atom_site_occupancy
Al1 0.0000 0.0000 0.7018 1
Al2 0.0000 0.0000 0.2982 1
Se1 0.5000 0.5000 0.5000 1
La1 0.5000 0.5000 0.0000 1
# * calculated total energy: -80.0 eV per cell
# * uncorrected formation energy: -317.5 meV per atom
# * polymorph energy (0 for the lowest one): 0.289 eV per atom
# * ρ: 5118 kg/m³

=====

Entry 5:
# LiZrFe2 | the Alexandria database | SCAN | PBEsol geometry
data_LiZrFe2
_space_group_name_H-M_alt 'P 1'
_space_group_IT_number 1
_space_group_name_Hall 'P 1'
_cell_length_a 3.8483
_cell_length_b 3.6124
_cell_length_c 3.8314
_cell_angle_alpha 90.00
_cell_angle_beta 90.00
_cell_angle_gamma 90.00
loop_
_atom_site_label
_atom_site_fract_x
_atom_site_fract_y
_atom_site_fract_z
_atom_site_occupancy
Fe1 0.0000 0.0000 0.0000 1
Fe2 0.5000 0.0000 0.5000 1
Li1 0.5000 0.5000 0.0000 1
Zr1 0.0000 0.5000 0.5000 1
# * calculated total energy: -68.5 eV per cell
# * ΔH_f (0 K): 0.86 eV/f.u.
# * ρ: 6543 kg/m³

=====

Entry 6:
# CaMgHg | the Alexandria database | SCAN | PBEsol geometry
data_CaMgHg
_space_group_name_H-M_alt 'P 1'
_space_group_IT_number 1
_space_group_name_Hall 'P 1'
_cell_length_a 3.6909
_cell_length_b 4.8957
_cell_length_c 4.8957
_cell_angle_alpha 120.00
_cell_angle_beta 90.00
_cell_angle_gamma 90.00
loop_
_atom_site_label
_atom_site_fract_x
_atom_site_fract_y
_atom_site_fract_z
_atom_site_occupancy
Mg1 0.5000 0.6667 0.3333 1
Ca1 0.0000 0.0000 0.0000 1
Hg1 0.5000 0.3333 0.6667 1
# * calculated total energy: -84.3 eV per cell
# * ΔH_f (0 K): -1.46 eV/f.u.
# * ρ: 5743 kg/m³

=====

Entry 7:
# Al3Ru2 | the Alexandria database | SCAN | PBEsol geometry
data_Al3Ru2
_space_group_name_H-M_alt 'P 1'
_space_group_IT_number 1
_space_group_name_Hall 'P 1'
_cell_length_a 3.0735
_cell_length_b 3.0735
_cell_length_c 7.4415
_cell_angle_alpha 101.92
_cell_angle_beta 101.92
_cell_angle_gamma 90.00
loop_
_atom_site_label
_atom_site_fract_x
_atom_site_fract_y
_atom_site_fract_z
_atom_site_occupancy
Ru1 0.6058 0.6058 0.2117 1
Ru2 0.3942 0.3942 0.7883 1
Al1 0.0000 0.0000 0.0000 1
Al2 0.8061 0.8061 0.6122 1
Al3 0.1939 0.1939 0.3878 1
# * calculated total energy: -97.4 eV per cell
# * ΔH_f (0 K): -4.48 eV/f.u.
# * ρ: 6992 kg/m³

=====

Entry 8:
# CaAlTe2 | the Alexandria database | SCAN | PBEsol geometry
data_CaAlTe2
_space_group_name_H-M_alt 'P 1'
_space_group_IT_number 1
_space_group_name_Hall 'P 1'
_cell_length_a 4.2530
_cell_length_b 4.2530
_cell_length_c 6.3191
_cell_angle_alpha 90.00
_cell_angle_beta 90.00
_cell_angle_gamma 90.00
loop_
_atom_site_label
_atom_site_fract_x
_atom_site_fract_y
_atom_site_fract_z
_atom_site_occupancy
Ca1 0.5000 0.5000 0.8642 1
Te1 0.0000 0.0000 0.8581 1
Te2 0.5000 0.5000 0.3640 1
Al1 0.0000 0.0000 0.4137 1
# * calculated total energy: -95.6 eV per cell
# * uncorrected formation energy: -912.4 meV per atom
# * ρ: 4682 kg/m³